DFT (GGA-PBEsol) results for KTlCd after structural relaxation.

Values from the calculation:
V in Å³/f.u.: 87.8
DFT total energy in eV/cell: -5.1
Size of the total moment in μB per atom: 0.000
Formation energy from the elements in eV per atom: -0.05

The structure in extended XYZ format:
```
3
Lattice="-1.4854 1.4559 2.8490 -4.8612 -1.0526 -1.9965 2.4532 -3.6020 3.1197" Properties=species:S:1:pos:R:3 pbc="T T T"
Cd -0.2484 0.2435 0.4765
Tl -2.6699 -1.6605 0.1823
K -0.9751 -1.7817 3.3134
```

***

DFT (GGA-PBEsol) results for KTlCd after structural relaxation.

Values from the calculation:
V in Å³/f.u.: 94.4
DFT total energy in eV/cell: -4.7
Size of the total moment in μB per atom: 0.000
Formation energy from the elements in eV per atom: 0.10

The structure in extended XYZ format:
```
3
Lattice="3.6954 0.0000 0.0000 -1.8477 3.2003 0.0000 0.0000 0.0000 7.9862" Properties=species:S:1:pos:R:3 pbc="T T T"
Tl 1.8477 1.0668 2.4336
K 0.0000 2.1336 5.3432
Cd 0.0000 0.0000 0.2094
```

***

DFT (GGA-PBEsol) results for K2TlCd after structural relaxation.

Values from the calculation:
V in Å³/f.u.: 145.9
DFT total energy in eV/cell: -6.2
Size of the total moment in μB per atom: 0.000
Formation energy from the elements in eV per atom: -0.02

The structure in extended XYZ format:
```
4
Lattice="-1.6765 -1.6870 -3.8658 2.0519 -5.4328 1.4809 -4.8198 2.4858 3.6700" Properties=species:S:1:pos:R:3 pbc="T T T"
K -3.3726 -1.4312 -0.5774
Tl -0.1957 -3.6488 -0.9874
Cd -0.9051 -3.1642 1.7733
K -4.2278 -4.5838 1.1693
```

***

DFT (GGA-PBEsol) results for K2TlCd2 after structural relaxation.

Values from the calculation:
V in Å³/f.u.: 167.8
DFT total energy in eV/cell: -14.6
Size of the total moment in μB per atom: 0.000
Formation energy from the elements in eV per atom: 0.00

The structure in extended XYZ format:
```
10
Lattice="5.6056 0.0000 0.0000 0.0000 7.7377 0.0000 0.0000 0.0000 7.7377" Properties=species:S:1:pos:R:3 pbc="T T T"
Cd 0.0000 4.8879 1.0191
Tl 0.0000 3.8688 3.8688
Cd 0.0000 1.0191 2.8498
K 2.8028 5.2487 6.3578
Cd 0.0000 6.7186 4.8879
K 2.8028 6.3578 2.4890
K 2.8028 1.3799 5.2487
K 2.8028 2.4890 1.3799
Cd 0.0000 2.8498 6.7186
Tl 0.0000 0.0000 0.0000
```